Density functional theory data (PBE-GGA) for a geometry-optimized Li2AcPt3 structure.

Output
SG: No. 63
VASP energy: -5.024 eV/atom
Crystal system: orthorhombic
Calculated formation energy: -65.7 kJ per mole of atoms
Volume: 20.209 Å³ per atom
DOS at the Fermi energy: 4.01 states/eV/f.u.

Cell: 5.123 6.919 6.919 Å, 98.52 90.00 90.00°
Atoms (fractional coordinates):
Ac1 0.750 0.719 0.719
Ac2 0.250 0.281 0.281
Li1 0.500 0.785 0.215
Li2 0.500 0.215 0.785
Li3 0.000 0.785 0.215
Li4 0.000 0.215 0.785
Pt1 0.250 0.952 0.538
Pt2 0.750 0.048 0.462
Pt3 0.250 0.538 0.952
Pt4 0.750 0.053 0.053
Pt5 0.750 0.462 0.048
Pt6 0.250 0.947 0.947


Density functional theory data (PBE-GGA) for a geometry-optimized Hf2Zr2Os3 structure.

Output
SG: No. 12
VASP energy: -10.565 eV/atom
Crystal system: monoclinic
Calculated formation energy: -44.9 kJ per mole of atoms
Volume: 19.411 Å³ per atom
DOS at the Fermi energy: 2.89 states/eV/f.u.

Cell: 4.588 4.592 7.908 Å, 90.04 107.02 119.94°
Atoms (fractional coordinates):
Hf1 0.255 0.128 0.383
Hf2 0.745 0.872 0.617
Os1 0.501 0.751 0.251
Os2 0.000 0.000 0.000
Os3 0.499 0.249 0.749
Zr1 0.243 0.621 0.864
Zr2 0.757 0.379 0.136


Density functional theory data (PBE-GGA) for a geometry-optimized SrScOs2 structure.

Output
SG: No. 71
VASP energy: -6.975 eV/atom
Crystal system: orthorhombic
Calculated formation energy: 62.0 kJ per mole of atoms
Volume: 18.697 Å³ per atom
DOS at the Fermi energy: 3.03 states/eV/f.u.

Cell: 5.512 5.512 5.512 Å, 146.17 125.67 65.55°
Atoms (fractional coordinates):
Sc1 0.250 0.750 0.500
Sr1 0.750 0.250 0.500
Os1 0.014 0.014 0.000
Os2 0.486 0.486 0.000


Density functional theory data (PBE-GGA) for a geometry-optimized Pa3Ga4Os2 structure.

Output
SG: No. 189
VASP energy: -7.435 eV/atom
Crystal system: hexagonal
Calculated formation energy: -41.4 kJ per mole of atoms
Volume: 19.761 Å³ per atom
DOS at the Fermi energy: 8.56 states/eV/f.u.

Cell: 3.787 7.364 7.364 Å, 120.00 90.00 90.00°
Atoms (fractional coordinates):
Ga1 0.000 0.000 0.743
Ga2 0.500 0.000 0.000
Ga3 0.000 0.743 0.000
Ga4 0.000 0.257 0.257
Os1 0.000 0.667 0.333
Os2 0.000 0.333 0.667
Pa1 0.500 0.000 0.409
Pa2 0.500 0.409 0.000
Pa3 0.500 0.591 0.591